1.
This record from Alexandria via LeMat-Bulk describes a relaxed structure of Pr3Tl3Hg2. The functional is PBE-GGA.

Geometry as CIF:
```
data_Pr3Tl3Hg2
_chemical_formula_sum 'Pr3 Tl3 Hg2'
_cell_length_a 8.4433
_cell_length_b 8.4433
_cell_length_c 3.8127
_cell_angle_alpha 90.00
_cell_angle_beta 90.00
_cell_angle_gamma 120.00
_symmetry_space_group_name_H-M 'P -6 2 m'
_symmetry_Int_Tables_number 189
_symmetry_space_group_name_Hall 'P -6 -2'
loop_
_atom_site_label
_atom_site_type_symbol
_atom_site_fract_x
_atom_site_fract_y
_atom_site_fract_z
_atom_site_occupancy
Pr1 Pr 0.0000 0.3831 0.0000 1
Tl1 Tl 0.0000 0.7599 0.5000 1
Hg1 Hg 0.3333 0.6667 0.5000 1
```

***

2.
This record from Alexandria via LeMat-Bulk describes a relaxed structure of Pr3Tl3Hg2. The functional is PBE-GGA.

Geometry as CIF:
```
data_Pr3Tl3Hg2
_chemical_formula_sum 'Pr6 Tl6 Hg4'
_cell_length_a 19.3897
_cell_length_b 4.7382
_cell_length_c 5.1645
_cell_angle_alpha 90.00
_cell_angle_beta 105.44
_cell_angle_gamma 90.00
_symmetry_space_group_name_H-M 'C 1 2/m 1'
_symmetry_Int_Tables_number 12
_symmetry_space_group_name_Hall '-C 2y'
loop_
_atom_site_label
_atom_site_type_symbol
_atom_site_fract_x
_atom_site_fract_y
_atom_site_fract_z
_atom_site_occupancy
Pr1 Pr 0.0000 0.0000 0.0000 1
Pr2 Pr 0.1425 0.0000 0.6416 1
Tl1 Tl 0.0000 0.5000 0.5000 1
Tl2 Tl 0.1274 0.5000 0.1269 1
Hg1 Hg 0.2443 0.0000 0.2435 1
```

***

Which is most stable? The ranking, best first, is 2, 1.

***

1.
This record from Alexandria via LeMat-Bulk describes a relaxed structure of Pr2TlHg2. The functional is PBE-GGA.

Geometry as CIF:
```
data_Pr2TlHg2
_chemical_formula_sum 'Pr2 Tl1 Hg2'
_cell_length_a 5.2683
_cell_length_b 5.2683
_cell_length_c 6.7471
_cell_angle_alpha 90.00
_cell_angle_beta 90.00
_cell_angle_gamma 120.00
_symmetry_space_group_name_H-M 'P -3 m 1'
_symmetry_Int_Tables_number 164
_symmetry_space_group_name_Hall '-P 3 2"'
loop_
_atom_site_label
_atom_site_type_symbol
_atom_site_fract_x
_atom_site_fract_y
_atom_site_fract_z
_atom_site_occupancy
Pr1 Pr 0.3333 0.6667 0.2021 1
Tl1 Tl 0.0000 0.0000 0.0000 1
Hg1 Hg 0.3333 0.6667 0.6750 1
```

***

2.
This record from Alexandria via LeMat-Bulk describes a relaxed structure of Pr2TlHg2. The functional is PBE-GGA.

Geometry as CIF:
```
data_Pr2TlHg2
_chemical_formula_sum 'Pr4 Tl2 Hg4'
_cell_length_a 9.2907
_cell_length_b 5.4336
_cell_length_c 6.3505
_cell_angle_alpha 90.00
_cell_angle_beta 107.37
_cell_angle_gamma 90.00
_symmetry_space_group_name_H-M 'C 1 2/m 1'
_symmetry_Int_Tables_number 12
_symmetry_space_group_name_Hall '-C 2y'
loop_
_atom_site_label
_atom_site_type_symbol
_atom_site_fract_x
_atom_site_fract_y
_atom_site_fract_z
_atom_site_occupancy
Pr1 Pr 0.2138 0.0000 0.2493 1
Tl1 Tl 0.0000 0.5000 0.0000 1
Hg1 Hg 0.1176 0.0000 0.7174 1
```

***

Which is most stable? The ranking, best first, is 2, 1.

***

1.
This record from Alexandria via LeMat-Bulk describes a relaxed structure of PrTl2Hg5. The functional is PBE-GGA.

Geometry as CIF:
```
data_PrTl2Hg5
_chemical_formula_sum 'Pr2 Tl4 Hg10'
_cell_length_a 4.8632
_cell_length_b 4.8632
_cell_length_c 18.2936
_cell_angle_alpha 90.00
_cell_angle_beta 90.00
_cell_angle_gamma 90.00
_symmetry_space_group_name_H-M 'I 4/m m m'
_symmetry_Int_Tables_number 139
_symmetry_space_group_name_Hall '-I 4 2'
loop_
_atom_site_label
_atom_site_type_symbol
_atom_site_fract_x
_atom_site_fract_y
_atom_site_fract_z
_atom_site_occupancy
Pr1 Pr 0.0000 0.0000 0.0000 1
Tl1 Tl 0.0000 0.0000 0.2467 1
Hg1 Hg 0.0000 0.0000 0.5000 1
Hg2 Hg 0.0000 0.5000 0.1230 1
```

***

2.
This record from Alexandria via LeMat-Bulk describes a relaxed structure of PrTl2Hg5. The functional is PBE-GGA.

Geometry as CIF:
```
data_PrTl2Hg5
_chemical_formula_sum 'Pr4 Tl8 Hg20'
_cell_length_a 8.2851
_cell_length_b 8.2851
_cell_length_c 13.2383
_cell_angle_alpha 90.00
_cell_angle_beta 90.00
_cell_angle_gamma 90.00
_symmetry_space_group_name_H-M 'I 4/m c m'
_symmetry_Int_Tables_number 140
_symmetry_space_group_name_Hall '-I 4 2c'
loop_
_atom_site_label
_atom_site_type_symbol
_atom_site_fract_x
_atom_site_fract_y
_atom_site_fract_z
_atom_site_occupancy
Pr1 Pr 0.0000 0.0000 0.2500 1
Tl1 Tl 0.1529 0.3471 0.0000 1
Hg1 Hg 0.0000 0.0000 0.0000 1
Hg2 Hg 0.1470 0.3530 0.3301 1
```

***

Which is most stable? The ranking, best first, is 1, 2.

***

1.
This record from Alexandria via LeMat-Bulk describes a relaxed structure of Pr6Tl5Hg. The functional is PBE-GGA.

Geometry as CIF:
```
data_Pr6Tl5Hg
_chemical_formula_sum 'Pr6 Tl5 Hg1'
_cell_length_a 5.5668
_cell_length_b 7.8165
_cell_length_c 8.7851
_cell_angle_alpha 90.00
_cell_angle_beta 108.28
_cell_angle_gamma 90.00
_symmetry_space_group_name_H-M 'P 1 2/m 1'
_symmetry_Int_Tables_number 10
_symmetry_space_group_name_Hall '-P 2y'
loop_
_atom_site_label
_atom_site_type_symbol
_atom_site_fract_x
_atom_site_fract_y
_atom_site_fract_z
_atom_site_occupancy
Pr1 Pr 0.0000 0.2470 0.0000 1
Pr2 Pr 0.3344 0.2480 0.6688 1
Tl1 Tl 0.1648 0.0000 0.3299 1
Tl2 Tl 0.1670 0.5000 0.3340 1
Tl3 Tl 0.5000 0.5000 0.0000 1
Hg1 Hg 0.5000 0.0000 0.0000 1
```

***

2.
This record from Alexandria via LeMat-Bulk describes a relaxed structure of Pr6Tl5Hg. The functional is PBE-GGA.

Geometry as CIF:
```
data_Pr6Tl5Hg
_chemical_formula_sum 'Pr12 Tl10 Hg2'
_cell_length_a 10.0465
_cell_length_b 11.8561
_cell_length_c 6.7858
_cell_angle_alpha 90.00
_cell_angle_beta 103.30
_cell_angle_gamma 90.00
_symmetry_space_group_name_H-M 'C 1 2/m 1'
_symmetry_Int_Tables_number 12
_symmetry_space_group_name_Hall '-C 2y'
loop_
_atom_site_label
_atom_site_type_symbol
_atom_site_fract_x
_atom_site_fract_y
_atom_site_fract_z
_atom_site_occupancy
Pr1 Pr 0.2425 0.0000 0.2461 1
Pr2 Pr 0.2457 0.1647 0.7443 1
Tl1 Tl 0.0000 0.1754 0.0000 1
Tl2 Tl 0.0000 0.3396 0.5000 1
Tl3 Tl 0.0000 0.5000 0.0000 1
Hg1 Hg 0.0000 0.0000 0.5000 1
```

***

Which is most stable? The ranking, best first, is 1, 2.

***

1.
This record from Alexandria via LeMat-Bulk describes a relaxed structure of Pr2TmHg. The functional is PBE-GGA.

Geometry as CIF:
```
data_Pr2TmHg
_chemical_formula_sum 'Pr2 Tm1 Hg1'
_cell_length_a 3.7419
_cell_length_b 3.7419
_cell_length_c 8.9180
_cell_angle_alpha 90.00
_cell_angle_beta 90.00
_cell_angle_gamma 90.00
_symmetry_space_group_name_H-M 'P 4/m m m'
_symmetry_Int_Tables_number 123
_symmetry_space_group_name_Hall '-P 4 2'
loop_
_atom_site_label
_atom_site_type_symbol
_atom_site_fract_x
_atom_site_fract_y
_atom_site_fract_z
_atom_site_occupancy
Pr1 Pr 0.0000 0.0000 0.2279 1
Tm1 Tm 0.5000 0.5000 0.5000 1
Hg1 Hg 0.5000 0.5000 0.0000 1
```

***

2.
This record from Alexandria via LeMat-Bulk describes a relaxed structure of Pr2TmHg. The functional is PBE-GGA.

Geometry as CIF:
```
data_Pr2TmHg
_chemical_formula_sum 'Pr4 Tm2 Hg2'
_cell_length_a 5.2446
_cell_length_b 5.2446
_cell_length_c 8.9320
_cell_angle_alpha 90.00
_cell_angle_beta 90.00
_cell_angle_gamma 90.00
_symmetry_space_group_name_H-M 'P 4/n m m'
_symmetry_Int_Tables_number 129
loop_
_symmetry_equiv_pos_as_xyz
'x,y,z'
'-x,-y,-z'
'-y+1/2,x,z'
'y+1/2,-x,-z'
'-x+1/2,-y+1/2,z'
'x+1/2,y+1/2,-z'
'y,-x+1/2,z'
'-y,x+1/2,-z'
'x+1/2,-y,-z'
'-x+1/2,y,z'
'-y,-x,-z'
'y,x,z'
'-x,y+1/2,-z'
'x,-y+1/2,z'
'y+1/2,x+1/2,-z'
'-y+1/2,-x+1/2,z'
loop_
_atom_site_label
_atom_site_type_symbol
_atom_site_fract_x
_atom_site_fract_y
_atom_site_fract_z
_atom_site_occupancy
Pr1 Pr 0.2500 0.2500 0.2202 1
Pr2 Pr 0.2500 0.7500 0.5000 1
Tm1 Tm 0.2500 0.2500 0.7867 1
Hg1 Hg 0.2500 0.7500 0.0000 1
```

***

Which is most stable? The ranking, best first, is 2, 1.

***

1.
This record from Alexandria via LeMat-Bulk describes a relaxed structure of Pr2TmHg. The functional is PBE-GGA.

Geometry as CIF:
```
data_Pr2TmHg
_chemical_formula_sum 'Pr6 Tm3 Hg3'
_cell_length_a 3.7103
_cell_length_b 3.7103
_cell_length_c 32.4192
_cell_angle_alpha 90.00
_cell_angle_beta 90.00
_cell_angle_gamma 120.00
_symmetry_space_group_name_H-M 'R 3 m'
_symmetry_Int_Tables_number 160
_symmetry_space_group_name_Hall 'R 3 -2"'
loop_
_atom_site_label
_atom_site_type_symbol
_atom_site_fract_x
_atom_site_fract_y
_atom_site_fract_z
_atom_site_occupancy
Pr1 Pr 0.0000 0.0000 0.0000 1
Pr2 Pr 0.0000 0.0000 0.1762 1
Tm1 Tm 0.0000 0.0000 0.7551 1
Hg1 Hg 0.0000 0.0000 0.5880 1
```

***

2.
This record from Alexandria via LeMat-Bulk describes a relaxed structure of Pr2TmHg. The functional is PBE-GGA.

Geometry as CIF:
```
data_Pr2TmHg
_chemical_formula_sum 'Pr8 Tm4 Hg4'
_cell_length_a 7.8432
_cell_length_b 7.8432
_cell_length_c 7.8432
_cell_angle_alpha 90.00
_cell_angle_beta 90.00
_cell_angle_gamma 90.00
_symmetry_space_group_name_H-M 'F m -3 m'
_symmetry_Int_Tables_number 225
_symmetry_space_group_name_Hall '-F 4 2 3'
loop_
_atom_site_label
_atom_site_type_symbol
_atom_site_fract_x
_atom_site_fract_y
_atom_site_fract_z
_atom_site_occupancy
Pr1 Pr 0.2500 0.2500 0.2500 1
Tm1 Tm 0.0000 0.0000 0.0000 1
Hg1 Hg 0.0000 0.0000 0.5000 1
```

***

Which is most stable? The ranking, best first, is 1, 2.